Entry 1:
VASP calculation (PBE) on a relaxed KPtPb2 crystal.

Cell: 5.9213 5.9213 3.2693 Å, 90.00 90.00 113.74°
Last column: nearest neighbours and their distance in Å.
Fractional positions:
K: 0.0000 0.5000 0.5000  2 Pt 3.24, 2 K 3.27, 8 Pb 3.38
Pb: 0.0000 0.0000 0.0000  4 Pb 3.24-3.27, 4 K 3.38, 4 Pt 3.38
Pb: 0.5000 0.5000 0.0000  4 Pb 3.24-3.27, 4 Pt 3.38, 4 K 3.38
Pt: 0.5000 0.0000 0.5000  2 K 3.24, 2 Pt 3.27, 8 Pb 3.38

Entry 2:
VASP calculation (PBE) on a relaxed KPt2Pb crystal.

Cell: 5.3081 5.3081 5.3081 Å, 129.90 129.83 73.62°
Last column: nearest neighbours and their distance in Å.
Fractional positions:
K: 0.7500 0.2500 0.5000  8 Pt 3.09, 4 Pb 3.18
Pb: 0.2500 0.7500 0.5000  8 Pt 3.09-3.10, 4 K 3.18
Pt: 0.0001 0.0001 0.0000  4 Pb 3.09-3.10, 4 K 3.09, 4 Pt 3.18
Pt: 0.4999 0.4999 0.0000  4 Pb 3.09-3.10, 4 K 3.09, 4 Pt 3.18

Entry 3:
VASP calculation (PBE) on a relaxed KPtPb2 crystal.

Cell: 4.6066 4.6066 7.3807 Å, 71.76 71.76 59.97°
Last column: nearest neighbours and their distance in Å.
Fractional positions:
Pb: 0.0322 0.0322 0.9038  3 Pt 2.88-2.89
Pb: 0.8005 0.8005 0.5987  3 Pt 2.83
K: 0.2476 0.2476 0.2562  1 Pt 3.54, 6 Pb 3.55-3.60
Pt: 0.4197 0.4197 0.7413  6 Pb 2.83-2.89

Result set for energy relative to the elements: 0.196 0.194 -0.264 eV/atom, one per record in the order listed.
Result set for E: -3.443 -4.028 -3.902 eV/atom, one per record in the order listed.